No. 1
## CuAgAs (GGA-PBE)

Data for an optimized crystal structure of CuAgAs.

Calculated values
Energy relative to the lowest polymorph listed for this composition   0.000 eV/atom
DFT formation energy   0.071 eV/atom
Magnetization   0.0 μB/f.u.
Volume   51 Å³/f.u.

Cell: 4.024 4.024 6.274 Å, 90.00 90.00 90.00°
Space group P4/nmm (No. 129, origin choice 2)
Symmetry-distinct sites (fractional):
Cu1 0.250 0.750 0.000
Ag1 0.250 0.250 0.319
As1 0.250 0.250 0.746

=====

No. 2
## Cu2AgAs (GGA-PBE)

Data for an optimized crystal structure of Cu2AgAs.

Calculated values
DFT formation energy   0.146 eV/atom
Magnetization   0.0 μB/f.u.
Volume   60 Å³/f.u.

Cell: 3.864 3.864 8.090 Å, 90.00 90.00 90.00°
Space group I-4m2 (No. 119)
Symmetry-distinct sites (fractional):
Cu1 0.000 0.000 0.000
Cu2 0.000 0.500 0.250
Ag1 0.000 0.000 0.500
As1 0.000 0.500 0.750

=====

No. 3
## Cu2AgAs (GGA-PBE)

Data for an optimized crystal structure of Cu2AgAs.

Calculated values
DFT formation energy   0.141 eV/atom
Magnetization   0.0 μB/f.u.
Volume   62 Å³/f.u.

Cell: 2.810 4.476 4.962 Å, 90.00 90.09 90.00°
Space group Pm (No. 6)
Symmetry-distinct sites (fractional):
Cu1 0.000 0.000 0.000
Cu2 0.004 0.500 0.720
Ag1 0.503 0.500 0.194
As1 0.021 0.000 0.503

=====

No. 4
## CuAgAs (GGA-PBE)

Data for an optimized crystal structure of CuAgAs.

Calculated values
Energy relative to the lowest polymorph listed for this composition   0.095 eV/atom
DFT formation energy   0.167 eV/atom
Magnetization   0.0 μB/f.u.
Volume   52 Å³/f.u.

Cell: 4.1964 4.1964 3.3955 Å, 90.00 90.00 120.00°
Space group P-6m2 (No. 187)
Symmetry-distinct sites (fractional):
Cu1 0.0000 0.0000 0.0000
Ag1 0.3333 0.6667 0.5000
As1 0.6667 0.3333 0.0000

=====

No. 5
## CuAg2As (GGA-PBE)

Data for an optimized crystal structure of CuAg2As.

Calculated values
DFT formation energy   0.198 eV/atom
Magnetization   0.0 μB/f.u.
Volume   68 Å³/f.u.

Cell: 2.9451 2.9451 27.2863 Å, 90.00 90.00 120.00°
Space group R3m (No. 160, hexagonal axes)
Symmetry-distinct sites (fractional):
Cu1 0.0000 0.0000 0.0000
Ag1 0.0000 0.0000 0.4109
Ag2 0.0000 0.0000 0.5890
As1 0.0000 0.0000 0.8333

=====

No. 6
## CuAgAs3 (GGA-PBE)

Data for an optimized crystal structure of CuAgAs3.

Calculated values
Energy relative to the lowest polymorph listed for this composition   0.000 eV/atom
DFT formation energy   0.650 eV/atom
Magnetization   0.0 μB/f.u.
Volume   107 Å³/f.u.

Cell: 4.741 4.741 4.741 Å, 90.00 90.00 90.00°
Space group Pm-3m (No. 221)
Symmetry-distinct sites (fractional):
Cu1 0.000 0.000 0.000
Ag1 0.500 0.500 0.500
As1 0.000 0.000 0.500

=====

No. 7
## CuAg3As (GGA-PBE)

Data for an optimized crystal structure of CuAg3As.

Calculated values
Energy relative to the lowest polymorph listed for this composition   0.000 eV/atom
DFT formation energy   0.612 eV/atom
Magnetization   0.0 μB/f.u.
Volume   119 Å³/f.u.

Cell: 4.916 4.916 4.916 Å, 90.00 90.00 90.00°
Space group Pm-3m (No. 221)
Symmetry-distinct sites (fractional):
Cu1 0.000 0.000 0.000
Ag1 0.000 0.500 0.500
As1 0.500 0.500 0.500

=====

No. 8
## CuAg2As (GGA-PBE)

Data for an optimized crystal structure of CuAg2As.

Calculated values
DFT formation energy   0.147 eV/atom
Magnetization   0.0 μB/f.u.
Volume   68 Å³/f.u.

Cell: 3.175 4.678 9.196 Å, 90.00 90.00 90.00°
Space group Imm2 (No. 44)
Symmetry-distinct sites (fractional):
Cu1 0.000 0.000 0.000
Ag1 0.000 0.000 0.524
Ag2 0.000 0.500 0.743
As1 0.000 0.500 0.293

=====

No. 9
## CuAgAs (GGA-PBE)

Data for an optimized crystal structure of CuAgAs.

Calculated values
Energy relative to the lowest polymorph listed for this composition   0.102 eV/atom
DFT formation energy   0.173 eV/atom
Magnetization   0.0 μB/f.u.
Volume   50 Å³/f.u.

Cell: 3.039 3.624 8.990 Å, 90.00 90.00 90.00°
Space group Imm2 (No. 44)
Symmetry-distinct sites (fractional):
Cu1 0.000 0.000 0.000
Ag1 0.000 0.000 0.679
As1 0.000 0.000 0.372

=====

No. 10
## CuAg2As (GGA-PBE)

Data for an optimized crystal structure of CuAg2As.

Calculated values
DFT formation energy   0.213 eV/atom
Magnetization   0.0 μB/f.u.
Volume   68 Å³/f.u.

Cell: 6.485 6.485 6.485 Å, 90.00 90.00 90.00°
Space group F-43m (No. 216)
Symmetry-distinct sites (fractional):
Cu1 0.000 0.000 0.000
Ag1 0.000 0.000 0.500
Ag2 0.250 0.250 0.250
As1 0.250 0.250 0.750

=====

No. 11
## CuAg2As (GGA-PBE)

Data for an optimized crystal structure of CuAg2As.

Calculated values
DFT formation energy   0.142 eV/atom
Magnetization   0.0 μB/f.u.
Volume   67 Å³/f.u.

Cell: 4.024 4.024 4.127 Å, 90.00 90.00 90.00°
Space group P4/mmm (No. 123)
Symmetry-distinct sites (fractional):
Cu1 0.000 0.000 0.000
Ag1 0.000 0.500 0.500
As1 0.500 0.500 0.000

=====

No. 12
## Cu2AgAs (GGA-PBE)

Data for an optimized crystal structure of Cu2AgAs.

Calculated values
DFT formation energy   0.260 eV/atom
Magnetization   0.0 μB/f.u.
Volume   68 Å³/f.u.

Cell: 4.014 4.014 16.843 Å, 90.00 90.00 90.00°
Space group I-42d (No. 122)
Symmetry-distinct sites (fractional):
Cu1 0.192 0.250 0.125
Ag1 0.000 0.000 0.500
As1 0.000 0.000 0.000

=====

No. 13
## CuAg2As (GGA-PBE)

Data for an optimized crystal structure of CuAg2As.

Calculated values
DFT formation energy   0.178 eV/atom
Magnetization   0.0 μB/f.u.
Volume   67 Å³/f.u.

Cell: 2.998 3.949 5.695 Å, 90.00 90.00 90.00°
Space group Pmmm (No. 47)
Symmetry-distinct sites (fractional):
Cu1 0.000 0.000 0.000
Ag1 0.500 0.500 0.241
As1 0.000 0.000 0.500

=====

No. 14
## Cu2AgAs (GGA-PBE)

Data for an optimized crystal structure of Cu2AgAs.

Calculated values
DFT formation energy   0.135 eV/atom
Magnetization   0.0 μB/f.u.
Volume   61 Å³/f.u.

Cell: 2.933 3.582 5.818 Å, 90.00 90.00 90.00°
Space group Pmm2 (No. 25)
Symmetry-distinct sites (fractional):
Cu1 0.000 0.000 0.000
Cu2 0.500 0.500 0.214
Ag1 0.000 0.000 0.471
As1 0.500 0.500 0.782

=====

No. 15
## CuAg2As (GGA-PBE)

Data for an optimized crystal structure of CuAg2As.

Calculated values
DFT formation energy   0.197 eV/atom
Magnetization   0.0 μB/f.u.
Volume   68 Å³/f.u.

Cell: 2.907 4.781 4.920 Å, 90.00 91.86 90.00°
Space group P2/m (No. 10)
Symmetry-distinct sites (fractional):
Cu1 0.000 0.000 0.000
Ag1 0.254 0.500 0.756
As1 0.500 0.000 0.500

=====

No. 16
## Cu3AgAs (GGA-PBE)

Data for an optimized crystal structure of Cu3AgAs.

Calculated values
Energy relative to the lowest polymorph listed for this composition   0.633 eV/atom
DFT formation energy   1.032 eV/atom
Magnetization   0.0 μB/f.u.
Volume   102 Å³/f.u.

Cell: 4.670 4.670 4.670 Å, 90.00 90.00 90.00°
Space group Pm-3m (No. 221)
Symmetry-distinct sites (fractional):
Cu1 0.000 0.000 0.500
Ag1 0.000 0.000 0.000
As1 0.500 0.500 0.500

=====

No. 17
## CuAg2As (GGA-PBE)

Data for an optimized crystal structure of CuAg2As.

Calculated values
DFT formation energy   0.156 eV/atom
Magnetization   0.0 μB/f.u.
Volume   67 Å³/f.u.

Cell: 4.033 4.033 8.278 Å, 90.00 90.00 90.00°
Space group I4/mmm (No. 139)
Symmetry-distinct sites (fractional):
Cu1 0.000 0.000 0.000
Ag1 0.000 0.500 0.250
As1 0.000 0.000 0.500

=====

No. 18
## CuAg2As (GGA-PBE)

Data for an optimized crystal structure of CuAg2As.

Calculated values
DFT formation energy   0.222 eV/atom
Magnetization   0.0 μB/f.u.
Volume   68 Å³/f.u.

Cell: 2.9786 2.9786 26.7294 Å, 90.00 90.00 120.00°
Space group R-3m (No. 166, hexagonal axes)
Symmetry-distinct sites (fractional):
Cu1 0.0000 0.0000 0.0000
Ag1 0.0000 0.0000 0.2546
As1 0.0000 0.0000 0.5000

=====

No. 19
## Cu4AgAs (GGA-PBE)

Data for an optimized crystal structure of Cu4AgAs.

Calculated values
DFT formation energy   0.125 eV/atom
Magnetization   0.0 μB/f.u.
Volume   85 Å³/f.u.

Cell: 6.988 6.988 6.988 Å, 90.00 90.00 90.00°
Space group F-43m (No. 216)
Symmetry-distinct sites (fractional):
Cu1 0.125 0.125 0.125
Ag1 0.250 0.250 0.750
As1 0.000 0.000 0.500

=====

No. 20
## Cu2AgAs (GGA-PBE)

Data for an optimized crystal structure of Cu2AgAs.

Calculated values
DFT formation energy   0.127 eV/atom
Magnetization   0.0 μB/f.u.
Volume   60 Å³/f.u.

Cell: 2.966 3.512 5.765 Å, 90.00 90.00 90.00°
Space group Pmmm (No. 47)
Symmetry-distinct sites (fractional):
Cu1 0.000 0.000 0.235
Ag1 0.500 0.500 0.500
As1 0.500 0.500 0.000

=====

No. 21
## CuAgAs (GGA-PBE)

Data for an optimized crystal structure of CuAgAs.

Calculated values
Energy relative to the lowest polymorph listed for this composition   0.088 eV/atom
DFT formation energy   0.159 eV/atom
Magnetization   0.0 μB/f.u.
Volume   55 Å³/f.u.

Cell: 6.046 6.046 6.046 Å, 90.00 90.00 90.00°
Space group F-43m (No. 216)
Symmetry-distinct sites (fractional):
Cu1 0.000 0.000 0.000
Ag1 0.000 0.000 0.500
As1 0.250 0.250 0.250

=====

No. 22
## CuAg2As (GGA-PBE)

Data for an optimized crystal structure of CuAg2As.

Calculated values
DFT formation energy   0.194 eV/atom
Magnetization   0.0 μB/f.u.
Volume   68 Å³/f.u.

Cell: 5.703 7.495 3.183 Å, 90.00 90.00 90.00°
Space group Cmmm (No. 65)
Symmetry-distinct sites (fractional):
Cu1 0.000 0.000 0.000
Ag1 0.250 0.250 0.500
As1 0.000 0.500 0.000

=====

No. 23
## Cu2AgAs (GGA-PBE)

Data for an optimized crystal structure of Cu2AgAs.

Calculated values
DFT formation energy   0.134 eV/atom
Magnetization   0.0 μB/f.u.
Volume   62 Å³/f.u.

Cell: 2.902 4.102 5.244 Å, 90.00 90.00 90.00°
Space group Pmmm (No. 47)
Symmetry-distinct sites (fractional):
Cu1 0.000 0.000 0.241
Ag1 0.500 0.500 0.000
As1 0.000 0.500 0.500

=====

No. 24
## CuAg2As (GGA-PBE)

Data for an optimized crystal structure of CuAg2As.

Calculated values
DFT formation energy   0.318 eV/atom
Magnetization   0.0 μB/f.u.
Volume   73 Å³/f.u.

Cell: 7.400 7.400 5.347 Å, 90.00 90.00 90.00°
Space group I-42d (No. 122)
Symmetry-distinct sites (fractional):
Cu1 0.000 0.000 0.000
Ag1 0.239 0.250 0.125
As1 0.000 0.000 0.500

=====

No. 25
## CuAg2As (GGA-PBE)

Data for an optimized crystal structure of CuAg2As.

Calculated values
DFT formation energy   0.161 eV/atom
Magnetization   0.0 μB/f.u.
Volume   67 Å³/f.u.

Cell: 9.472 2.920 4.942 Å, 90.00 99.50 90.00°
Space group C2/m (No. 12)
Symmetry-distinct sites (fractional):
Cu1 0.000 0.000 0.000
Ag1 0.244 0.500 0.243
As1 0.000 0.500 0.500

=====

No. 26
## CuAg2As (GGA-PBE)

Data for an optimized crystal structure of CuAg2As.

Calculated values
DFT formation energy   0.155 eV/atom
Magnetization   0.0 μB/f.u.
Volume   67 Å³/f.u.

Cell: 4.093 4.093 8.033 Å, 90.00 90.00 90.00°
Space group I-4m2 (No. 119)
Symmetry-distinct sites (fractional):
Cu1 0.000 0.000 0.000
Ag1 0.000 0.000 0.500
Ag2 0.000 0.500 0.750
As1 0.000 0.500 0.250

=====

No. 27
## CuAg2As (GGA-PBE)

Data for an optimized crystal structure of CuAg2As.

Calculated values
DFT formation energy   0.129 eV/atom
Magnetization   0.0 μB/f.u.
Volume   68 Å³/f.u.

Cell: 3.005 4.214 5.585 Å, 90.00 105.45 90.00°
Space group Pm (No. 6)
Symmetry-distinct sites (fractional):
Cu1 0.000 0.000 0.000
Ag1 0.249 0.000 0.510
Ag2 0.610 0.500 0.228
As1 0.878 0.500 0.766

=====

No. 28
## CuAg2As (GGA-PBE)

Data for an optimized crystal structure of CuAg2As.

Calculated values
DFT formation energy   0.116 eV/atom
Magnetization   0.0 μB/f.u.
Volume   68 Å³/f.u.

Cell: 2.894 2.894 8.078 Å, 90.00 90.00 90.00°
Space group P4mm (No. 99)
Symmetry-distinct sites (fractional):
Cu1 0.000 0.000 0.000
Ag1 0.000 0.000 0.500
Ag2 0.500 0.500 0.235
As1 0.500 0.500 0.791